Below is crystalline ScInBrCl2 at its relaxed geometry, with properties calculated at the PBE level.

a = 5.078 Å, b = 5.078 Å, c = 5.508 Å
α = 90.00°, β = 90.00°, γ = 90.00°
Space group P4/mmm (No. 123)
Asymmetric unit:
Sc (0.000, 0.000, 0.000) x1
In (0.500, 0.500, 0.500) x1
Br (0.000, 0.000, 0.500) x1
Cl (0.000, 0.500, 0.000) x2

Computed properties:
**Crystal system**: tetragonal
**DOS(E_F)**: 0.47 states/eV per atom
**Formation energy without anion corrections**: -1290 meV per atom
**VASP energy**: -20.9 eV for the cell shown